{"formula": "CrCo2Os", "functional": "GGA-PBEsol", "state": "optimized geometry", "e_tot_ev_per_fu": -37.74, "crystal_system": "tetragonal", "ef_ev_per_atom": 0.049, "polymorph_energy_mev_per_atom": 18, "lattice_angstrom": [[3.596, 0.000, 0.000], [0.000, 3.596, 0.000], [-1.798, -1.798, 3.485]], "species": ["Cr", "Co", "Os", "Co"], "frac_coords": [[0.000, 0.000, 0.000], [0.750, 0.250, 0.500], [0.250, 0.750, 0.500], [0.500, 0.500, 0.000]]}